# Nd2Ga3Pd5

Nd2Ga3Pd5 after structural relaxation (GGA-PBE, Alexandria via LeMat-Bulk).

Geometry as extended XYZ:
```
20
Lattice="-3.317 3.513 -3.334 -6.608 -4.472 -3.306 -6.689 2.953 4.597" Properties=species:S:1:pos:R:3 pbc="T T T"
Pd -11.986 0.438 -0.534
Pd -9.135 1.875 -1.855
Pd -13.644 2.194 -2.201
Pd -10.862 -0.127 -4.830
Pd -4.627 1.556 -1.509
Pd -5.751 2.120 2.787
Pd -7.356 -0.951 -4.019
Pd -2.969 -0.201 0.158
Pd -7.477 0.119 -0.188
Pd -9.256 2.945 1.976
Ga -11.388 1.277 -2.829
Ga -0.829 0.878 -0.834
Ga -5.225 0.717 0.785
Ga -9.746 1.030 0.445
Ga -6.867 0.964 -2.489
Ga -2.487 2.635 -2.501
Nd -6.935 3.359 0.103
Nd -9.678 -1.366 -2.146
Nd -11.373 3.714 -0.276
Nd -5.240 -1.721 -1.768
```

Computed properties:
Energy relative to the elements: -782 meV per atom
E above lowest polymorph: 0 meV per atom
Size of the total moment: 0.000 μB/f.u.


# Nd2GaPd

Nd2GaPd after structural relaxation (GGA-PBE, Alexandria via LeMat-Bulk).

Geometry as extended XYZ:
```
4
Lattice="-3.679 0.430 -1.288 -2.724 -2.666 0.921 -4.370 4.330 7.955" Properties=species:S:1:pos:R:3 pbc="T T T"
Pd -5.387 1.047 3.794
Nd -3.661 2.720 5.393
Nd -7.112 -0.627 2.194
Ga 0.000 0.000 0.000
```

Computed properties:
Energy relative to the elements: -93 meV per atom
Size of the total moment: 0.000 μB/f.u.


# Nd2GaPd

Nd2GaPd after structural relaxation (GGA-PBE, Alexandria via LeMat-Bulk).

Geometry as extended XYZ:
```
4
Lattice="3.614 0.000 0.000 0.000 3.614 0.000 0.000 0.000 7.537" Properties=species:S:1:pos:R:3 pbc="T T T"
Nd 0.000 0.000 5.725
Nd 0.000 0.000 1.811
Ga 1.807 1.807 3.768
Pd 1.807 1.807 0.000
```

Computed properties:
Energy relative to the elements: -638 meV per atom
Size of the total moment: 0.000 μB/f.u.


# Nd3GaPd3

Nd3GaPd3 after structural relaxation (GGA-PBE, Alexandria via LeMat-Bulk).

Geometry as extended XYZ:
```
14
Lattice="4.237 0.000 0.000 -2.118 5.306 0.000 0.000 0.000 14.466" Properties=species:S:1:pos:R:3 pbc="T T T"
Pd 2.118 2.876 10.850
Pd 0.000 2.429 3.617
Pd 2.118 4.511 13.137
Pd 0.000 0.795 1.329
Pd 0.000 0.795 5.904
Pd 2.118 4.511 8.563
Ga 2.118 0.000 7.233
Ga 2.118 0.000 0.000
Nd 0.000 2.247 12.995
Nd 0.000 5.201 10.850
Nd 0.000 2.247 8.704
Nd 2.118 0.104 3.617
Nd 2.118 3.059 1.471
Nd 2.118 3.059 5.762
```

Computed properties:
Energy relative to the elements: -779 meV per atom
Size of the total moment: 0.000 μB/f.u.


# Nd3Ga3Pd

Nd3Ga3Pd after structural relaxation (GGA-PBE, Alexandria via LeMat-Bulk).

Geometry as extended XYZ:
```
14
Lattice="-0.230 -4.161 1.708 5.219 -2.738 -0.028 2.619 2.942 13.462" Properties=species:S:1:pos:R:3 pbc="T T T"
Ga 0.695 -3.854 2.581
Ga 6.913 -0.103 12.561
Ga 5.025 -4.013 8.716
Ga 2.879 1.682 10.427
Ga 2.583 0.057 6.426
Ga 4.728 -5.639 4.715
Nd 3.121 -1.256 9.238
Nd 1.865 -1.070 3.583
Nd 3.852 0.309 13.151
Nd 5.743 -2.887 11.559
Nd 3.756 -4.266 1.991
Nd 4.487 -2.700 5.904
Pd 6.216 -1.706 8.561
Pd 1.392 -2.251 6.581
```

Computed properties:
Energy relative to the elements: -675 meV per atom
Size of the total moment: 0.000 μB/f.u.


# Nd2Ga3Pd4

Nd2Ga3Pd4 after structural relaxation (GGA-PBE, Alexandria via LeMat-Bulk).

Geometry as extended XYZ:
```
18
Lattice="5.691 0.000 0.000 0.000 7.717 0.000 -2.845 0.000 7.802" Properties=species:S:1:pos:R:3 pbc="T T T"
Nd 0.000 0.643 6.084
Nd 2.845 3.215 6.084
Nd 0.000 4.502 1.718
Nd 2.845 7.073 1.718
Pd 0.000 7.583 2.864
Pd 1.423 5.788 6.836
Pd 2.845 3.992 2.864
Pd 0.000 3.724 4.938
Pd 2.845 0.134 4.938
Pd 1.423 1.929 0.966
Pd 4.268 1.929 0.966
Pd -1.423 5.788 6.836
Ga 4.268 1.929 3.591
Ga 2.845 3.858 0.000
Ga 1.423 1.929 3.591
Ga 0.000 0.000 0.000
Ga -1.423 5.788 4.210
Ga 1.423 5.788 4.210
```

Computed properties:
Energy relative to the elements: -809 meV per atom
Size of the total moment: 0.000 μB/f.u.


# Nd4Ga16Pd3

Nd4Ga16Pd3 after structural relaxation (GGA-PBE, Alexandria via LeMat-Bulk).

Geometry as extended XYZ:
```
23
Lattice="-2.659 -2.741 -5.009 4.053 -4.798 0.473 -7.217 -5.426 6.801" Properties=species:S:1:pos:R:3 pbc="T T T"
Ga -3.674 -5.321 -1.033
Ga 0.405 -2.191 -1.318
Ga -1.680 -1.263 1.583
Ga -0.395 -6.326 1.645
Ga 2.102 -4.200 -1.120
Ga -3.448 -8.983 0.851
Ga -1.694 -7.664 -0.801
Ga -5.080 -8.113 3.176
Ga -4.129 -5.300 3.067
Ga -5.537 -4.163 5.217
Ga -2.149 -7.644 3.298
Ga -5.428 -6.639 0.620
Ga 0.989 -5.348 -3.217
Ga -0.743 -4.852 -0.911
Ga -0.708 -3.339 -3.416
Ga -2.375 -3.982 1.414
Nd -2.712 -2.410 -1.202
Nd 0.644 -3.439 1.540
Nd -7.164 -5.757 2.993
Nd -3.807 -6.785 5.735
Pd -4.938 -4.083 0.896
Pd 0.000 0.000 0.000
Pd -1.582 -5.112 3.637
```

Computed properties:
Energy relative to the elements: -591 meV per atom
Size of the total moment: 0.000 μB/f.u.


# Nd2Ga3Pd

Nd2Ga3Pd after structural relaxation (GGA-PBE, Alexandria via LeMat-Bulk).

Geometry as extended XYZ:
```
12
Lattice="5.888 -0.336 0.000 -0.564 5.871 0.000 -2.662 -2.768 7.776" Properties=species:S:1:pos:R:3 pbc="T T T"
Nd -0.282 2.936 3.888
Nd 1.397 1.452 0.000
Nd 3.927 4.083 0.000
Nd 2.944 -0.168 3.888
Ga 0.000 0.000 2.567
Ga 4.284 1.208 1.298
Ga 1.041 4.327 1.298
Ga 1.622 -1.560 6.477
Ga 2.662 2.768 5.208
Ga -1.622 1.560 6.477
Pd 0.000 0.000 5.154
Pd 2.662 2.768 2.622
```

Computed properties:
Energy relative to the elements: -739 meV per atom
E above lowest polymorph: 5 meV per atom
Size of the total moment: 0.000 μB/f.u.


# NdGa2Pd6

NdGa2Pd6 after structural relaxation (GGA-PBE, Alexandria via LeMat-Bulk).

Geometry as extended XYZ:
```
18
Lattice="8.029 0.000 0.000 4.015 6.953 0.000 4.015 2.318 6.556" Properties=species:S:1:pos:R:3 pbc="T T T"
Nd 12.044 6.953 4.917
Nd 8.029 4.636 3.278
Ga 6.022 1.159 0.819
Ga 4.015 4.636 0.819
Ga 4.015 2.318 4.097
Ga 2.007 1.159 0.819
Pd 8.029 6.937 4.905
Pd 10.051 8.104 3.290
Pd 12.044 9.255 6.544
Pd 6.036 5.786 1.651
Pd 12.044 4.652 3.290
Pd 14.037 5.803 6.544
Pd 6.036 3.485 4.905
Pd 14.037 8.104 3.290
Pd 10.022 5.786 1.651
Pd 10.051 5.803 6.544
Pd 8.029 2.335 1.651
Pd 10.022 3.485 4.905
```

Computed properties:
Energy relative to the elements: -335 meV per atom
Size of the total moment: 0.000 μB/f.u.


# NdGa4Pd2

NdGa4Pd2 after structural relaxation (GGA-PBE, Alexandria via LeMat-Bulk).

Geometry as extended XYZ:
```
28
Lattice="4.400 0.000 0.000 0.000 6.595 0.000 0.000 0.000 17.612" Properties=species:S:1:pos:R:3 pbc="T T T"
Ga 1.100 3.212 7.510
Ga 3.300 5.146 14.266
Ga 1.100 4.496 12.020
Ga 3.300 2.100 5.592
Ga 1.100 0.086 16.316
Ga 1.100 1.116 9.455
Ga 3.300 5.480 8.156
Ga 1.100 2.182 0.649
Ga 3.300 3.384 10.102
Ga 1.100 5.398 3.214
Ga 3.300 4.413 16.962
Ga 3.300 6.509 1.296
Ga 1.100 1.449 3.345
Ga 3.300 4.747 5.460
Ga 3.300 1.198 14.397
Ga 1.100 1.848 12.151
Nd 1.100 0.051 6.353
Nd 3.300 6.544 11.259
Nd 3.300 3.349 2.453
Nd 1.100 3.247 15.158
Pd 3.300 1.661 8.197
Pd 3.300 3.142 12.645
Pd 1.100 4.959 0.609
Pd 1.100 4.934 9.415
Pd 1.100 6.440 13.772
Pd 3.300 1.637 17.003
Pd 1.100 3.453 4.966
Pd 3.300 0.156 3.840
```

Computed properties:
Energy relative to the elements: -696 meV per atom
E above lowest polymorph: 0 meV per atom
Size of the total moment: 0.000 μB/f.u.


# NdGa7Pd5

NdGa7Pd5 after structural relaxation (GGA-PBE, Alexandria via LeMat-Bulk).

Geometry as extended XYZ:
```
13
Lattice="5.105 0.000 2.097 2.629 6.339 0.862 0.144 -0.180 6.913" Properties=species:S:1:pos:R:3 pbc="T T T"
Ga 3.213 1.011 6.705
Ga 4.265 2.220 4.143
Ga 3.589 4.004 5.788
Ga 6.076 2.161 6.997
Ga 4.727 4.985 3.017
Ga 6.842 4.171 5.131
Ga 1.998 1.466 2.400
Pd 3.819 3.022 1.574
Pd 2.673 0.014 4.364
Pd 5.865 4.735 7.511
Pd 0.136 0.014 3.322
Pd 1.282 3.022 0.532
Nd 2.785 6.127 7.746
```

Computed properties:
Energy relative to the elements: -602 meV per atom
Size of the total moment: 0.000 μB/f.u.


# Nd2GaPd4

Nd2GaPd4 after structural relaxation (GGA-PBE, Alexandria via LeMat-Bulk).

Geometry as extended XYZ:
```
7
Lattice="-1.859 2.792 -3.413 0.599 -4.213 -2.188 -5.725 -0.945 6.085" Properties=species:S:1:pos:R:3 pbc="T T T"
Pd -0.929 1.396 -1.707
Pd -4.683 -1.696 -0.299
Pd -2.302 -0.671 0.783
Pd 0.300 -2.107 -1.094
Ga 0.000 0.000 0.000
Nd -4.559 -1.131 2.685
Nd -2.425 -1.236 -2.201
```

Computed properties:
Energy relative to the elements: -505 meV per atom
E above lowest polymorph: 140 meV per atom
Size of the total moment: 0.000 μB/f.u.